# CrIn2TeO8 GGA+U relaxed
# DFT total energy = -5.995 eV per atom
# Crystal system = orthorhombic
data_CrIn2TeO8
_chemical_formula_sum 'Cr2 In4 Te2 O16'
_cell_length_a 6.657
_cell_length_b 6.979
_cell_length_c 6.337
_cell_angle_alpha 90.00
_cell_angle_beta 90.00
_cell_angle_gamma 90.00
_space_group_name_H-M_alt 'C m m m'
_space_group_IT_number 65
_space_group_name_Hall '-C 2 2'
loop_
_atom_site_label
_atom_site_fract_x
_atom_site_fract_y
_atom_site_fract_z
Cr1 0.000 0.000 0.000
In1 0.000 0.500 0.245
Te1 0.000 0.000 0.500
O1 0.000 0.179 0.257
O2 0.209 0.500 0.500
O3 0.219 0.500 0.000